# 1
Material: UPaPb2O8
Method: DFT, PBE
State: relaxed

Calculated values
- M_tot (μB/f.u.) = 0.0
- calculated volume (A^3/atom) = 16.9
- ρ (g cm⁻³) = 8.27
- formation energy (no corrections) (eV per atom) = -2.435

Geometry as CIF:
```
data_UPaPb2O8
_symmetry_space_group_name_H-M 'C m m m'
_symmetry_Int_Tables_number 65
_symmetry_space_group_name_Hall '-C 2 2'
_cell_length_a 7.438
_cell_length_b 7.603
_cell_length_c 7.187
_cell_angle_alpha 90.00
_cell_angle_beta 90.00
_cell_angle_gamma 90.00
loop_
_atom_site_label
_atom_site_fract_x
_atom_site_fract_y
_atom_site_fract_z
U1 0.000 0.000 0.000
Pa1 0.000 0.000 0.500
Pb1 0.000 0.500 0.255
O1 0.000 0.170 0.247
O2 0.210 0.500 0.500
O3 0.237 0.500 0.000
```

---

# 2
Material: UPaPbO6
Method: DFT, PBE
State: relaxed

Calculated values
- M_tot (μB/f.u.) = 1.0
- calculated volume (A^3/atom) = 17.5
- ρ (g cm⁻³) = 8.16
- formation energy (no corrections) (eV per atom) = -2.876

Geometry as CIF:
```
data_UPaPbO6
_symmetry_space_group_name_H-M 'P -3 1 c'
_symmetry_Int_Tables_number 163
_symmetry_space_group_name_Hall '-P 3 2c'
_cell_length_a 6.0086
_cell_length_b 6.0086
_cell_length_c 10.0487
_cell_angle_alpha 90.00
_cell_angle_beta 90.00
_cell_angle_gamma 120.00
loop_
_atom_site_label
_atom_site_fract_x
_atom_site_fract_y
_atom_site_fract_z
U1 0.3333 0.6667 0.2500
Pa1 0.3333 0.6667 0.7500
Pb1 0.0000 0.0000 0.0000
O1 0.0037 0.3701 0.1445
```